1.
TlZn2HgI | meta-GGA SCAN | single point on PBEsol structure

## Properties
DOS at the Fermi energy	2.41	states/eV per cell
formation energy (no corrections)	0.6717	eV/atom
V	36.63	Å³ per atom
crystal system	tetragonal
total magnetization	0.00	μB/f.u.

The structure in CIF format:
```
data_TlZn2HgI
_cell_length_a 5.3131
_cell_length_b 5.3131
_cell_length_c 6.4885
_cell_angle_alpha 90.00
_cell_angle_beta 90.00
_cell_angle_gamma 90.00
_symmetry_space_group_name_H-M 'P 4/m m m'
_symmetry_Int_Tables_number 123
_symmetry_space_group_name_Hall '-P 4 2'
loop_
_atom_site_label
_atom_site_type_symbol
_atom_site_fract_x
_atom_site_fract_y
_atom_site_fract_z
_atom_site_occupancy
Tl1 Tl 0.0000 0.0000 0.0000 1
Zn1 Zn 0.0000 0.5000 0.5000 1
Hg1 Hg 0.5000 0.5000 0.0000 1
I1 I 0.5000 0.5000 0.5000 1
```


2.
HgWI3 | meta-GGA SCAN | single point on PBEsol structure

## Properties
DOS at the Fermi energy	8.92	states/eV per cell
formation energy (no corrections)	1.4373	eV/atom
V	37.26	Å³ per atom
crystal system	cubic
total magnetization	5.02	μB/f.u.

The structure in CIF format:
```
data_HgWI3
_cell_length_a 5.7112
_cell_length_b 5.7112
_cell_length_c 5.7112
_cell_angle_alpha 90.00
_cell_angle_beta 90.00
_cell_angle_gamma 90.00
_symmetry_space_group_name_H-M 'P m -3 m'
_symmetry_Int_Tables_number 221
_symmetry_space_group_name_Hall '-P 4 2 3'
loop_
_atom_site_label
_atom_site_type_symbol
_atom_site_fract_x
_atom_site_fract_y
_atom_site_fract_z
_atom_site_occupancy
Hg1 Hg 0.0000 0.0000 0.0000 1
W1 W 0.5000 0.5000 0.5000 1
I1 I 0.0000 0.0000 0.5000 1
```